Entry 1:
Here is a relaxed structure of CrAs2Rh from Alexandria. Energies are from GGA-PBE.

Cell: 9.9679 9.9679 9.9679 Å, 16.70 16.70 16.70°
Element x y z (fractional)
Cr (0.0000, 0.0000, 0.0000)
As (0.2692, 0.2692, 0.2692)
As (0.4702, 0.4702, 0.4702)
Rh (0.7386, 0.7386, 0.7386)

Calculated values
- SG: R3m
- Energy: -6.49 eV per atom
- E_form: 0.076 eV per atom



Entry 2:
Here is a relaxed structure of CsK3Tl from Alexandria. Energies are from GGA-PBE.

Cell: 7.6405 7.6405 7.6405 Å, 90.00 90.00 90.00°
Element x y z (fractional)
Cs (0.0000, 0.0000, 0.0000)
K (0.0000, 0.0000, 0.5000)
K (0.0000, 0.5000, 0.0000)
K (0.5000, 0.0000, 0.0000)
Tl (0.5000, 0.5000, 0.5000)

Calculated values
- SG: Pm-3m
- Energy: -0.81 eV per atom
- Offset from the most stable computed form: 0.522 eV per atom
- E_form: 0.493 eV per atom



Entry 3:
Here is a relaxed structure of MgS from Alexandria. Energies are from GGA-PBE.

Cell: 7.6379 6.8720 6.6226 Å, 68.91 57.09 54.00°
Element x y z (fractional)
Mg (0.0222, 0.0222, 0.7278)
Mg (0.2722, 0.2722, 0.9778)
Mg (0.7278, 0.7278, 0.0222)
Mg (0.9778, 0.9778, 0.2722)
S (0.0547, 0.6953, 0.0547)
S (0.3047, 0.9453, 0.3047)
S (0.6953, 0.0547, 0.6953)
S (0.9453, 0.3047, 0.9453)

Calculated values
- SG: Fddd
- Energy: -4.17 eV per atom



Entry 4:
Here is a relaxed structure of SrMnW2 from Alexandria. Energies are from GGA-PBE.

Cell: 2.8760 4.2091 7.0192 Å, 90.00 100.84 90.00°
Element x y z (fractional)
Sr (0.0000, 0.0000, 0.0000)
Mn (0.2213, 0.5000, 0.6699)
W (0.5298, 0.0000, 0.5047)
W (0.7550, 0.5000, 0.3305)

Calculated values
- SG: Pm
- Energy: -8.40 eV per atom
- Offset from the most stable computed form: 0.000 eV per atom
- E_form: 0.791 eV per atom



Entry 5:
Here is a relaxed structure of Li2FeS2 from Alexandria. Energies are from GGA-PBE.

Cell: 6.7291 6.3992 8.0949 Å, 90.00 91.36 90.00°
Element x y z (fractional)
Li (0.0307, 0.0155, 0.1794)
Li (0.0307, 0.4845, 0.6794)
Li (0.3838, 0.1433, 0.7544)
Li (0.3838, 0.3567, 0.2544)
Li (0.6162, 0.6433, 0.7456)
Li (0.6162, 0.8567, 0.2456)
Li (0.9693, 0.5155, 0.3206)
Li (0.9693, 0.9845, 0.8206)
Fe (0.1488, 0.6191, 0.0038)
Fe (0.1488, 0.8809, 0.5038)
Fe (0.8512, 0.1191, 0.4962)
Fe (0.8512, 0.3809, 0.9962)
S (0.1874, 0.2383, 0.4911)
S (0.1874, 0.2617, 0.9911)
S (0.2747, 0.7341, 0.2597)
S (0.2747, 0.7659, 0.7597)
S (0.7253, 0.2341, 0.2403)
S (0.7253, 0.2659, 0.7403)
S (0.8126, 0.7383, 0.0089)
S (0.8126, 0.7617, 0.5089)

Calculated values
- SG: P2_1/c
- Energy: -4.97 eV per atom
- Offset from the most stable computed form: 0.020 eV per atom



Entry 6:
Here is a relaxed structure of HoPaPd4 from Alexandria. Energies are from GGA-PBE.

Cell: 10.2250 10.2250 5.7306 Å, 90.00 90.00 156.63°
Element x y z (fractional)
Ho (0.2257, 0.7743, 0.7500)
Ho (0.7743, 0.2257, 0.2500)
Pa (0.0798, 0.9202, 0.2500)
Pa (0.9202, 0.0798, 0.7500)
Pd (0.0708, 0.9292, 0.7500)
Pd (0.3538, 0.6462, 0.0081)
Pd (0.3538, 0.6462, 0.4919)
Pd (0.5000, 0.5000, 0.0000)
Pd (0.5000, 0.5000, 0.5000)
Pd (0.6462, 0.3538, 0.5081)
Pd (0.6462, 0.3538, 0.9919)
Pd (0.9292, 0.0708, 0.2500)

Calculated values
- SG: Cmcm
- Energy: -6.58 eV per atom
- Offset from the most stable computed form: 0.000 eV per atom
- E_form: -0.775 eV per atom